[1]
A geometry-optimized K2SrCo structure, computed with PBE.

a b c (Å): 7.0129 11.8787 4.3849
angles (deg): 90.00 90.00 90.00
Closest atoms and distances in Å follow each position.
Atoms (fractional coordinates):
1 K 0.2500 0.2500 0.0000  2 K 3.51
2 K 0.2500 0.7500 0.0000  2 K 3.51
3 K 0.7500 0.2500 0.0000  2 K 3.51
4 K 0.7500 0.7500 0.0000  2 K 3.51
5 Sr 0.0000 0.0000 0.5000  2 Co 3.51
6 Sr 0.5000 0.5000 0.5000  2 Co 3.51
7 Co 0.0000 0.5000 0.5000  2 Sr 3.51
8 Co 0.5000 0.0000 0.5000  2 Sr 3.51

Properties
- energy relative to the elements (eV per atom) = 0.86
- calculated density (kg/m3) = 2043
- space-group type = Cmmm, No. 65
- excess energy over the best structure of this formula in the dataset (eV per formula unit) = 1.335
- E_tot (eV/atom) = -1.8813
- spin magnetization (μB per cell) = 3.653

[2]
A geometry-optimized CoRh2W structure, computed with PBE.

a b c (Å): 2.7361 4.1390 5.1302
angles (deg): 90.00 105.07 90.00
Closest atoms and distances in Å follow each position.
Atoms (fractional coordinates):
1 Co 0.0000 0.0000 0.0000  2 W 2.46, 7 Rh 2.57-2.75, 2 Co 2.74
2 Rh 0.2640 0.0000 0.5185  3 Co 2.57-2.75, 4 W 2.70, 2 Rh 2.74
3 Rh 0.5970 0.5000 0.1983  3 W 2.65-2.68, 4 Co 2.67, 6 Rh 2.74-2.96
4 W 0.8699 0.5000 0.7323  2 Co 2.46, 7 Rh 2.65-2.70, 2 W 2.74

Properties
- energy relative to the elements (eV per atom) = 0.00
- calculated density (kg/m3) = 13278
- space-group type = Pm, No. 6
- excess energy over the best structure of this formula in the dataset (eV per formula unit) = 0.558
- E_tot (eV/atom) = -8.6916
- spin magnetization (μB per cell) = 1.300

[3]
A geometry-optimized Ba2YRu structure, computed with PBE.

a b c (Å): 4.6840 4.6840 5.6257
angles (deg): 90.00 90.00 90.00
Closest atoms and distances in Å follow each position.
Atoms (fractional coordinates):
1 Ba 0.0000 0.5000 0.0000  4 Ba 3.31, 4 Ru 3.66, 4 Y 3.66
2 Ba 0.5000 0.0000 0.0000  4 Ba 3.31, 4 Ru 3.66, 4 Y 3.66
3 Y 0.0000 0.0000 0.5000  4 Ru 3.31, 8 Ba 3.66
4 Ru 0.5000 0.5000 0.5000  4 Y 3.31, 8 Ba 3.66

Properties
- energy relative to the elements (eV per atom) = 0.59
- calculated density (kg/m3) = 6251
- space-group type = P4/mmm, No. 123
- excess energy over the best structure of this formula in the dataset (eV per formula unit) = 1.964
- E_tot (eV/atom) = -4.3023
- spin magnetization (μB per cell) = 0.000

[4]
A geometry-optimized KPuClF6 structure, computed with PBE.

a b c (Å): 6.6507 6.6507 5.3450
angles (deg): 90.00 90.00 120.00
Closest atoms and distances in Å follow each position.
Atoms (fractional coordinates):
1 K 0.0000 0.0000 0.0000  6 F 2.80
2 Pu 0.3333 0.6667 0.5000  6 F 2.07
3 Cl 0.6667 0.3333 0.5000  6 F 2.99
4 F 0.1059 0.4026 0.2670  1 Pu 2.07
5 F 0.1059 0.7034 0.7330  1 Pu 2.07
6 F 0.2966 0.4026 0.7330  1 Pu 2.07
7 F 0.2966 0.8941 0.2670  1 Pu 2.07
8 F 0.5974 0.7034 0.2670  1 Pu 2.07
9 F 0.5974 0.8941 0.7330  1 Pu 2.07

Properties
- calculated density (kg/m3) = 3508
- space-group type = P312, No. 149
- raw formation energy (eV per atom) = -2.613
- E_tot (eV/atom) = -5.7804
- spin magnetization (μB per cell) = 2.000

[5]
A geometry-optimized Ca2ZnGaPd6 structure, computed with PBE.

a b c (Å): 6.6586 6.6586 6.6586
angles (deg): 60.00 60.00 60.00
Closest atoms and distances in Å follow each position.
Atoms (fractional coordinates):
1 Ca 0.2500 0.2500 0.2500  12 Pd 3.33
2 Ca 0.7500 0.7500 0.7500  12 Pd 3.33
3 Zn 0.0000 0.0000 0.0000  6 Pd 2.36
4 Ga 0.5000 0.5000 0.5000  6 Pd 2.34
5 Pd 0.2512 0.2512 0.7488  1 Ga 2.34, 1 Zn 2.36
6 Pd 0.2512 0.7488 0.2512  1 Ga 2.34, 1 Zn 2.36
7 Pd 0.2512 0.7488 0.7488  1 Ga 2.34, 1 Zn 2.36
8 Pd 0.7488 0.2512 0.2512  1 Ga 2.34, 1 Zn 2.36
9 Pd 0.7488 0.2512 0.7488  1 Ga 2.34, 1 Zn 2.36
10 Pd 0.7488 0.7488 0.2512  1 Ga 2.34, 1 Zn 2.36

Properties
- energy relative to the elements (eV per atom) = -0.32
- calculated density (kg/m3) = 6792
- space-group type = Fm-3m, No. 225
- E_tot (eV/atom) = -4.2661
- spin magnetization (μB per cell) = 0.000

[6]
A geometry-optimized Ti2SnPd structure, computed with PBE.

a b c (Å): 3.0328 3.0328 27.1589
angles (deg): 90.00 90.00 120.00
Closest atoms and distances in Å follow each position.
Atoms (fractional coordinates):
1 Ti 0.0000 0.0000 0.2450  3 Pd 2.76, 3 Sn 2.97, 6 Ti 3.03
2 Ti 0.0000 0.0000 0.7550  3 Pd 2.76, 3 Sn 2.97, 6 Ti 3.03
3 Ti 0.3333 0.6667 0.4217  3 Pd 2.76, 3 Sn 2.97, 6 Ti 3.03
4 Ti 0.3333 0.6667 0.9117  3 Pd 2.76, 3 Sn 2.97, 6 Ti 3.03
5 Ti 0.6667 0.3333 0.0883  3 Pd 2.76, 3 Sn 2.97, 6 Ti 3.03
6 Ti 0.6667 0.3333 0.5783  3 Pd 2.76, 3 Sn 2.97, 6 Ti 3.03
7 Sn 0.0000 0.0000 0.0000  6 Ti 2.97, 6 Sn 3.03
8 Sn 0.3333 0.6667 0.6667  6 Ti 2.97, 6 Sn 3.03
9 Sn 0.6667 0.3333 0.3333  6 Ti 2.97, 6 Sn 3.03
10 Pd 0.0000 0.0000 0.5000  6 Ti 2.76, 6 Pd 3.03
11 Pd 0.3333 0.6667 0.1667  6 Ti 2.76, 6 Pd 3.03
12 Pd 0.6667 0.3333 0.8333  6 Ti 2.76, 6 Pd 3.03

Properties
- energy relative to the elements (eV per atom) = -0.17
- calculated density (kg/m3) = 7389
- space-group type = R-3m, No. 166
- E_tot (eV/atom) = -6.4207
- spin magnetization (μB per cell) = 0.001

[7]
A geometry-optimized NaAl4Pt2 structure, computed with PBE.

a b c (Å): 16.6008 4.2601 6.9078
angles (deg): 90.00 90.00 90.00
Closest atoms and distances in Å follow each position.
Atoms (fractional coordinates):
1 Na 0.1439 0.2500 0.0362  10 Al 3.00-3.28, 4 Pt 3.17
2 Na 0.3561 0.7500 0.5362  10 Al 3.00-3.28, 4 Pt 3.17
3 Na 0.6439 0.2500 0.4638  10 Al 3.00-3.28, 4 Pt 3.17
4 Na 0.8561 0.7500 0.9638  10 Al 3.00-3.28, 4 Pt 3.17
5 Al 0.0335 0.7500 0.8744  3 Pt 2.57-2.62, 1 Al 2.82
6 Al 0.0657 0.2500 0.4727  4 Pt 2.53-2.66
7 Al 0.1842 0.7500 0.3497  4 Pt 2.56-2.62, 1 Al 2.82
8 Al 0.1962 0.7500 0.7568  3 Pt 2.55, 2 Al 2.82
9 Al 0.3038 0.2500 0.2568  3 Pt 2.55, 2 Al 2.82
10 Al 0.3158 0.2500 0.8497  4 Pt 2.56-2.62, 1 Al 2.82
11 Al 0.4343 0.7500 0.9727  4 Pt 2.53-2.66
12 Al 0.4665 0.2500 0.3744  3 Pt 2.57-2.62, 1 Al 2.82
13 Al 0.5335 0.7500 0.6256  3 Pt 2.57-2.62, 1 Al 2.82
14 Al 0.5657 0.2500 0.0273  4 Pt 2.53-2.66
15 Al 0.6842 0.7500 0.1503  4 Pt 2.56-2.62, 1 Al 2.82
16 Al 0.6962 0.7500 0.7432  3 Pt 2.55, 2 Al 2.82
17 Al 0.8038 0.2500 0.2432  3 Pt 2.55, 2 Al 2.82
18 Al 0.8158 0.2500 0.6503  4 Pt 2.56-2.62, 1 Al 2.82
19 Al 0.9343 0.7500 0.5273  4 Pt 2.53-2.66
20 Al 0.9665 0.2500 0.1256  3 Pt 2.57-2.62, 1 Al 2.82
21 Pt 0.0352 0.7500 0.2532  7 Al 2.53-2.66
22 Pt 0.2147 0.2500 0.5582  7 Al 2.54-2.62
23 Pt 0.2853 0.7500 0.0582  7 Al 2.54-2.62
24 Pt 0.4648 0.2500 0.7532  7 Al 2.53-2.66
25 Pt 0.5352 0.7500 0.2468  7 Al 2.53-2.66
26 Pt 0.7147 0.2500 0.9418  7 Al 2.54-2.62
27 Pt 0.7853 0.7500 0.4418  7 Al 2.54-2.62
28 Pt 0.9648 0.2500 0.7468  7 Al 2.53-2.66

Properties
- energy relative to the elements (eV per atom) = -0.68
- calculated density (kg/m3) = 7085
- space-group type = Pnma, No. 62
- E_tot (eV/atom) = -4.7304
- spin magnetization (μB per cell) = 0.000

[8]
A geometry-optimized Fe2CoW structure, computed with PBE.

a b c (Å): 2.6618 3.5028 5.2169
angles (deg): 90.00 90.00 90.00
Closest atoms and distances in Å follow each position.
Atoms (fractional coordinates):
1 Fe 0.0000 0.0000 0.2289  3 Fe 2.39-2.66, 4 Co 2.50, 4 W 2.62
2 Fe 0.0000 0.0000 0.7711  3 Fe 2.39-2.66, 4 Co 2.50, 4 W 2.62
3 Co 0.5000 0.5000 0.0000  8 Fe 2.50, 2 W 2.61, 2 Co 2.66
4 W 0.5000 0.5000 0.5000  2 Co 2.61, 8 Fe 2.62, 2 W 2.66

Properties
- energy relative to the elements (eV per atom) = 0.13
- calculated density (kg/m3) = 12100
- space-group type = Pmmm, No. 47
- excess energy over the best structure of this formula in the dataset (eV per formula unit) = 0.438
- E_tot (eV/atom) = -9.1148
- spin magnetization (μB per cell) = 3.631

[9]
A geometry-optimized YCd3Ir structure, computed with PBE.

a b c (Å): 5.1200 5.1200 5.1200
angles (deg): 90.00 90.00 90.00
Closest atoms and distances in Å follow each position.
Atoms (fractional coordinates):
1 Y 0.0000 0.0000 0.0000  12 Cd 3.62
2 Cd 0.0000 0.5000 0.5000  2 Ir 2.56
3 Cd 0.5000 0.0000 0.5000  2 Ir 2.56
4 Cd 0.5000 0.5000 0.0000  2 Ir 2.56
5 Ir 0.5000 0.5000 0.5000  6 Cd 2.56

Properties
- energy relative to the elements (eV per atom) = 0.22
- calculated density (kg/m3) = 7650
- space-group type = Pm-3m, No. 221
- E_tot (eV/atom) = -3.3970
- spin magnetization (μB per cell) = 0.168

[10]
A geometry-optimized Ac2ErSc structure, computed with PBE.

a b c (Å): 8.2904 8.2904 8.2904
angles (deg): 90.00 90.00 90.00
Closest atoms and distances in Å follow each position.
Atoms (fractional coordinates):
1 Ac 0.2500 0.2500 0.2500  4 Er 3.59, 4 Sc 3.59
2 Ac 0.2500 0.2500 0.7500  4 Er 3.59, 4 Sc 3.59
3 Ac 0.2500 0.7500 0.2500  4 Er 3.59, 4 Sc 3.59
4 Ac 0.2500 0.7500 0.7500  4 Er 3.59, 4 Sc 3.59
5 Ac 0.7500 0.2500 0.2500  4 Er 3.59, 4 Sc 3.59
6 Ac 0.7500 0.2500 0.7500  4 Er 3.59, 4 Sc 3.59
7 Ac 0.7500 0.7500 0.2500  4 Er 3.59, 4 Sc 3.59
8 Ac 0.7500 0.7500 0.7500  4 Er 3.59, 4 Sc 3.59
9 Er 0.0000 0.0000 0.0000  8 Ac 3.59
10 Er 0.0000 0.5000 0.5000  8 Ac 3.59
11 Er 0.5000 0.0000 0.5000  8 Ac 3.59
12 Er 0.5000 0.5000 0.0000  8 Ac 3.59
13 Sc 0.0000 0.0000 0.5000  8 Ac 3.59
14 Sc 0.0000 0.5000 0.0000  8 Ac 3.59
15 Sc 0.5000 0.0000 0.0000  8 Ac 3.59
16 Sc 0.5000 0.5000 0.5000  8 Ac 3.59

Properties
- energy relative to the elements (eV per atom) = 0.10
- calculated density (kg/m3) = 7766
- space-group type = Fm-3m, No. 225
- excess energy over the best structure of this formula in the dataset (eV per formula unit) = 0.083
- E_tot (eV/atom) = -4.6786
- spin magnetization (μB per cell) = 0.004

[11]
A geometry-optimized Sr3LiCe3Te8 structure, computed with PBE.

a b c (Å): 9.1319 9.1319 9.2794
angles (deg): 119.53 119.53 59.94
Closest atoms and distances in Å follow each position.
Atoms (fractional coordinates):
1 Sr 0.0000 0.0000 0.0000  6 Te 3.30-3.34
2 Sr 0.0000 0.5000 0.0000  6 Te 3.29-3.34
3 Sr 0.5000 0.0000 0.0000  6 Te 3.29-3.34
4 Li 0.0000 0.0000 0.5000  6 Te 3.17
5 Ce 0.0000 0.5000 0.5000  6 Te 3.17-3.21
6 Ce 0.5000 0.0000 0.5000  6 Te 3.17-3.21
7 Ce 0.5000 0.5000 0.5000  6 Te 3.17-3.21
8 Te 0.2433 0.7436 0.7304  1 Li 3.17, 2 Ce 3.17, 2 Sr 3.34
9 Te 0.2437 0.2437 0.7307  2 Ce 3.17, 1 Li 3.17, 2 Sr 3.34
10 Te 0.2532 0.2532 0.2592  3 Ce 3.21, 3 Sr 3.29-3.30
11 Te 0.2564 0.7567 0.2696  1 Li 3.17, 2 Ce 3.17, 2 Sr 3.34
12 Te 0.7436 0.2433 0.7304  1 Li 3.17, 2 Ce 3.17, 2 Sr 3.34
13 Te 0.7468 0.7468 0.7408  3 Ce 3.21, 3 Sr 3.29-3.30
14 Te 0.7563 0.7563 0.2693  2 Ce 3.17, 1 Li 3.17, 2 Sr 3.34
15 Te 0.7567 0.2564 0.2696  1 Li 3.17, 2 Ce 3.17, 2 Sr 3.34

Properties
- calculated density (kg/m3) = 5158
- space-group type = C2/m, No. 12
- raw formation energy (eV per atom) = -1.402
- E_tot (eV/atom) = -4.7281
- spin magnetization (μB per cell) = 2.987

no.,calculated volume (Å³ per atom)
1,45.66
2,14.02
3,30.86
4,22.75
5,20.88
6,18.03
7,17.45
8,12.16
9,26.84
10,35.61
11,36.72